1.
Material: LaEr5Sb6
Method: DFT, PBE
State: optimized geometry

Unit cell a=7.6251 b=7.6245 c=7.6258 alpha=60.01 beta=80.38 gamma=70.46
Fractional positions:
La 0.0000 0.0000 0.0000
Er 0.5000 0.1629 0.6742
Er 0.0000 0.3320 0.3359
Er 0.5000 0.5000 0.0000
Er 0.0000 0.6680 0.6641
Er 0.5000 0.8371 0.3258
Sb 0.7435 0.0857 0.3420
Sb 0.2565 0.5723 0.3420
Sb 0.2527 0.2584 0.0000
Sb 0.7473 0.7416 0.0000
Sb 0.7435 0.4277 0.6580
Sb 0.2565 0.9143 0.6580

Computed properties:
- crystal system = monoclinic
- DOS(E_F) (states/eV/f.u.) = 1.87
- total DFT energy (no corrections) (eV per atom) = -5.488
- raw formation energy (eV per atom) = -1.115


2.
Material: LaEr2Sb3
Method: DFT, PBE
State: optimized geometry

Unit cell a=4.4482 b=6.3080 c=7.6941 alpha=114.20 beta=106.80 gamma=90.00
Fractional positions:
La 0.0000 0.5000 0.0000
Er 0.6643 0.1643 0.3287
Er 0.3357 0.8357 0.6713
Sb 0.3248 0.3248 0.6497
Sb 0.0000 0.0000 0.0000
Sb 0.6752 0.6752 0.3503

Computed properties:
- crystal system = orthorhombic
- DOS(E_F) (states/eV/f.u.) = 1.07
- total DFT energy (no corrections) (eV per atom) = -5.540
- raw formation energy (eV per atom) = -1.137


3.
Material: La4ErSb5
Method: DFT, PBE
State: optimized geometry

Unit cell a=6.4790 b=7.9216 c=7.9216 alpha=80.37 beta=65.86 gamma=65.86
Fractional positions:
La 0.4040 0.3972 0.7969
La 0.8012 0.7969 0.6028
La 0.2009 0.2031 0.3972
La 0.5980 0.6028 0.2031
Er 0.0011 0.0000 0.0000
Sb 0.9031 0.3896 0.8063
Sb 0.2927 0.8063 0.6104
Sb 0.7094 0.1937 0.3896
Sb 0.0990 0.6104 0.1937
Sb 0.5010 0.0000 0.0000

Computed properties:
- crystal system = tetragonal
- ΔE to the lowest computed polymorph (eV/f.u.) = 0.000
- DOS(E_F) (states/eV/f.u.) = 0.67
- total DFT energy (no corrections) (eV per atom) = -5.715
- raw formation energy (eV per atom) = -1.227